Entry from Alexandria via LeMat-Bulk: Li3MgTi8O16 at its PBEsol-relaxed geometry (SCAN).

Values from the calculation:
As for the formation energy without anion corrections: -3076 meV per atom. For the density of states at the Fermi level, the calculation gives 36.47 states/eV/cell. The value obtained for the calculated total energy is -11.650 eV per atom.

Unit cell a=5.9066 b=5.9066 c=29.2642 alpha=90.00 beta=90.00 gamma=120.00
Space group R3m (No. 160, hexagonal axes)
Symmetry-distinct sites (fractional):
Li 0.0000 0.0000 0.0000
Li 0.0000 0.0000 0.1205
Li 0.0000 0.0000 0.6253
Mg 0.0000 0.0000 0.8102
Ti 0.0000 0.0000 0.3125
Ti 0.0000 0.0000 0.4994
Ti 0.1702 0.3404 0.8969
Ti 0.1705 0.3409 0.3945
O 0.0000 0.0000 0.1928
O 0.0000 0.0000 0.4341
O 0.0000 0.0000 0.6914
O 0.0000 0.0000 0.9295
O 0.0269 0.5135 0.4323
O 0.0288 0.5144 0.9352
O 0.1724 0.3447 0.5216
O 0.1837 0.3674 0.0220